No. 1
The following is a PBE calculation of a relaxed structure of HfMg3Fe8, from the Alexandria database.

Results
formation energy from the elements	-0.32	eV per formula unit
mass density	7.0	g/cm3
D(E_F)	45.500	states/eV per cell

a b c (Å): 4.8909 4.8909 23.8759
angles (deg): 90.00 90.00 120.00
Space group R3m (No. 160, hexagonal axes)
Inequivalent atoms, fractional coordinates:
Hf: 0.0000 0.0000 0.0000 (multiplicity 3)
Mg: 0.0000 0.0000 0.3773 (multiplicity 3)
Mg: 0.0000 0.0000 0.5010 (multiplicity 3)
Mg: 0.0000 0.0000 0.8739 (multiplicity 3)
Fe: 0.0000 0.0000 0.1884 (multiplicity 3)
Fe: 0.0000 0.0000 0.6882 (multiplicity 3)
Fe: 0.0019 0.5010 0.9383 (multiplicity 9)
Fe: 0.1671 0.3341 0.7709 (multiplicity 9)


No. 2
The following is a PBE calculation of a relaxed structure of Tb3B4C4, from the Alexandria database.

Results
formation energy from the elements	3.10	eV per formula unit
mass density	7.5	g/cm3
D(E_F)	6.157	states/eV per cell

a b c (Å): 3.6400 5.0082 13.8649
angles (deg): 90.00 90.00 90.00
Space group Immm (No. 71)
Inequivalent atoms, fractional coordinates:
Tb: 0.0000 0.0000 0.0000 (multiplicity 2)
Tb: 0.0000 0.5000 0.1992 (multiplicity 4)
B: 0.0000 0.3212 0.3945 (multiplicity 8)
C: 0.0000 0.0000 0.1668 (multiplicity 4)
C: 0.0000 0.1484 0.5000 (multiplicity 4)


No. 3
The following is a PBE calculation of a relaxed structure of TaMo2W3, from the Alexandria database.

Results
formation energy from the elements	2.96	eV per formula unit
offset from the most stable computed form	296	meV per atom
mass density	15.0	g/cm3
D(E_F)	22.173	states/eV per cell

a b c (Å): 14.8118 5.2034 5.3061
angles (deg): 90.00 90.00 90.00
Space group Cmcm (No. 63)
Inequivalent atoms, fractional coordinates:
Ta: 0.0000 0.1608 0.2500 (multiplicity 4)
Mo: 0.1561 0.5000 0.0000 (multiplicity 8)
W: 0.0000 0.3474 0.7500 (multiplicity 4)
W: 0.1784 0.0113 0.7500 (multiplicity 8)


No. 4
The following is a PBE calculation of a relaxed structure of TaBe2Cr, from the Alexandria database.

Results
formation energy from the elements	0.19	eV per formula unit
offset from the most stable computed form	93	meV per atom
mass density	8.9	g/cm3
D(E_F)	2.750	states/eV per cell

a b c (Å): 3.6814 3.6814 6.8994
angles (deg): 90.00 90.00 90.00
Space group I4/mmm (No. 139)
Inequivalent atoms, fractional coordinates:
Ta: 0.0000 0.0000 0.0000 (multiplicity 2)
Be: 0.0000 0.5000 0.2500 (multiplicity 4)
Cr: 0.0000 0.0000 0.5000 (multiplicity 2)


No. 5
The following is a PBE calculation of a relaxed structure of CaLuTlGa, from the Alexandria database.

Results
formation energy from the elements	-1.50	eV per formula unit
mass density	8.0	g/cm3
D(E_F)	7.935	states/eV per cell

a b c (Å): 7.4037 7.4037 7.4037
angles (deg): 90.00 90.00 90.00
Space group F-43m (No. 216)
Inequivalent atoms, fractional coordinates:
Ca: 0.0000 0.0000 0.0000 (multiplicity 4)
Lu: 0.0000 0.0000 0.5000 (multiplicity 4)
Tl: 0.2500 0.2500 0.2500 (multiplicity 4)
Ga: 0.2500 0.2500 0.7500 (multiplicity 4)


No. 6
The following is a PBE calculation of a relaxed structure of Sm3Se3O, from the Alexandria database.

Results
offset from the most stable computed form	0	meV per atom
energy relative to the elements, uncorrected	-2.24	eV/atom
mass density	7.1	g/cm3
D(E_F)	9.956	states/eV per cell

a b c (Å): 12.1860 4.0594 13.2266
angles (deg): 90.00 90.00 90.00
Space group Pnma (No. 62)
Inequivalent atoms, fractional coordinates:
Sm: 0.0253 0.2500 0.1593 (multiplicity 4)
Sm: 0.0986 0.2500 0.6144 (multiplicity 4)
Sm: 0.2360 0.2500 0.8691 (multiplicity 4)
Se: 0.0755 0.2500 0.3892 (multiplicity 4)
Se: 0.1418 0.7500 0.0083 (multiplicity 4)
Se: 0.2358 0.7500 0.7068 (multiplicity 4)
O: 0.0545 0.2500 0.7983 (multiplicity 4)


No. 7
The following is a PBE calculation of a relaxed structure of Pr7Y12In, from the Alexandria database.

Results
formation energy from the elements	2.82	eV per formula unit
mass density	5.3	g/cm3
D(E_F)	87.824	states/eV per cell

a b c (Å): 12.1190 12.1190 16.0367
angles (deg): 90.00 90.00 120.00
Space group R-3 (No. 148, hexagonal axes)
Inequivalent atoms, fractional coordinates:
Pr: 0.0000 0.0000 0.0000 (multiplicity 3)
Pr: 0.0619 0.8771 0.2936 (multiplicity 18)
Y: 0.0400 0.5802 0.2146 (multiplicity 18)
Y: 0.0578 0.4772 0.5848 (multiplicity 18)
In: 0.0000 0.0000 0.5000 (multiplicity 3)


No. 8
The following is a PBE calculation of a relaxed structure of Ga2Ag2Te, from the Alexandria database.

Results
offset from the most stable computed form	0	meV per atom
energy relative to the elements, uncorrected	0.04	eV/atom
mass density	7.5	g/cm3
D(E_F)	3.388	states/eV per cell

a b c (Å): 4.0729 4.0729 12.9513
angles (deg): 90.00 90.00 90.00
Space group I4/mmm (No. 139)
Inequivalent atoms, fractional coordinates:
Ga: 0.0000 0.5000 0.2500 (multiplicity 4)
Ag: 0.0000 0.0000 0.1072 (multiplicity 4)
Te: 0.0000 0.0000 0.5000 (multiplicity 2)


No. 9
The following is a PBE calculation of a relaxed structure of BePtI2N, from the Alexandria database.

Results
offset from the most stable computed form	199	meV per atom
energy relative to the elements, uncorrected	0.89	eV/atom
mass density	6.5	g/cm3
D(E_F)	2.070	states/eV per cell

a b c (Å): 5.6942 5.6942 3.7301
angles (deg): 90.00 90.00 90.00
Space group P4/mmm (No. 123)
Inequivalent atoms, fractional coordinates:
Be: 0.0000 0.0000 0.0000 (multiplicity 1)
Pt: 0.5000 0.5000 0.5000 (multiplicity 1)
I: 0.0000 0.5000 0.5000 (multiplicity 2)
N: 0.5000 0.5000 0.0000 (multiplicity 1)


No. 10
The following is a PBE calculation of a relaxed structure of LiLa2MgHg6, from the Alexandria database.

Results
formation energy from the elements	-2.85	eV per formula unit
mass density	9.6	g/cm3
D(E_F)	5.846	states/eV per cell

a b c (Å): 7.0965 7.1437 7.1792
angles (deg): 60.59 60.93 60.33
Space group P-1 (No. 2)
Inequivalent atoms, fractional coordinates:
Li: 0.0000 0.0000 0.0000 (multiplicity 1)
La: 0.2010 0.1967 0.2030 (multiplicity 2)
Mg: 0.5000 0.5000 0.5000 (multiplicity 1)
Hg: 0.1423 0.3396 0.6817 (multiplicity 2)
Hg: 0.3203 0.8559 0.6617 (multiplicity 2)
Hg: 0.3434 0.6785 0.1419 (multiplicity 2)


No. 11
The following is a PBE calculation of a relaxed structure of Tc2GePd, from the Alexandria database.

Results
formation energy from the elements	1.77	eV per formula unit
mass density	9.6	g/cm3
D(E_F)	17.355	states/eV per cell

a b c (Å): 7.1705 7.1705 5.0306
angles (deg): 90.00 90.00 90.00
Space group I-42d (No. 122)
Inequivalent atoms, fractional coordinates:
Tc: 0.2146 0.2500 0.1250 (multiplicity 8)
Ge: 0.0000 0.0000 0.0000 (multiplicity 4)
Pd: 0.0000 0.0000 0.5000 (multiplicity 4)


No. 12
The following is a PBE calculation of a relaxed structure of BeTlIn2, from the Alexandria database.

Results
formation energy from the elements	1.28	eV per formula unit
offset from the most stable computed form	30	meV per atom
mass density	7.9	g/cm3
D(E_F)	1.172	states/eV per cell

a b c (Å): 3.1017 3.3436 9.0280
angles (deg): 90.00 90.00 90.00
Space group Pmmm (No. 47)
Inequivalent atoms, fractional coordinates:
Be: 0.0000 0.0000 0.0000 (multiplicity 1)
Tl: 0.0000 0.0000 0.5000 (multiplicity 1)
In: 0.5000 0.5000 0.1872 (multiplicity 2)


Q: Number 8 is which compound?
A: Ga2Ag2Te


Q: Among the records above, which one has the lowest D(E_F)?
A: BeTlIn2


Q: Look up the D(E_F) of the eleventh one.
A: 17.355 states/eV per cell